PBE with a Hubbard U CaBiMoO6, relaxed; uncorrected energy = -0.4734 Ry per atom; space group = P-31c (163)
1.0
5.568 0.000 0.000
-2.784 4.822 0.000
0.000 0.000 9.883
Ca Bi Mo O
2 2 2 12
Direct
0.000 0.000 0.000
0.000 0.000 0.500
0.333 0.667 0.250
0.667 0.333 0.750
0.333 0.667 0.750
0.667 0.333 0.250
0.038 0.382 0.637
0.038 0.656 0.863
0.344 0.382 0.863
0.344 0.962 0.637
0.382 0.038 0.137
0.382 0.344 0.363
0.618 0.656 0.637
0.618 0.962 0.863
0.656 0.038 0.363
0.656 0.618 0.137
0.962 0.344 0.137
0.962 0.618 0.363